No. 1
This record from the Alexandria database describes TaB2As after structural relaxation. The functional is PBEsol.

POSCAR file:
```
TaB2As
1.0
-2.8704 2.8704 2.9736
2.8704 -2.8704 2.9736
2.8704 2.8704 -2.9736
Ta B As
2 4 2
direct
0.0000 0.0000 0.0000 Ta
0.7500 0.2500 0.5000 Ta
0.1678 0.6250 0.0428 B
0.3750 0.4178 0.5428 B
0.5822 0.1250 0.9572 B
0.8750 0.8322 0.4572 B
0.2500 0.7500 0.5000 As
0.5000 0.5000 0.0000 As
```

Properties
Total energy ... -0.271 Ha/atom
Symmetry ... No. 122



No. 2
This record from the Alexandria database describes TaB3As after structural relaxation. The functional is PBEsol.

POSCAR file:
```
TaB3As
1.0
3.9667 0.0000 0.0000
0.0000 3.9667 0.0000
0.0000 0.0000 3.9667
Ta B As
1 3 1
direct
0.0000 0.0000 0.0000 Ta
0.0000 0.5000 0.5000 B
0.5000 0.0000 0.5000 B
0.5000 0.5000 0.0000 B
0.5000 0.5000 0.5000 As
```

Properties
Total energy ... -0.218 Ha/atom
Symmetry ... No. 221



No. 3
This record from the Alexandria database describes Tc2BAs after structural relaxation. The functional is PBEsol.

POSCAR file:
```
Tc2BAs
1.0
-3.3980 3.3980 2.2755
3.3980 -3.3980 2.2755
3.3980 3.3980 -2.2755
Tc B As
4 2 2
direct
0.0281 0.1250 0.4031 Tc
0.3750 0.9719 0.0969 Tc
0.7219 0.6250 0.5969 Tc
0.8750 0.2781 0.9031 Tc
0.0000 0.0000 0.0000 B
0.7500 0.2500 0.5000 B
0.2500 0.7500 0.5000 As
0.5000 0.5000 0.0000 As
```

Properties
Total energy ... -0.313 Ha/atom
Symmetry ... No. 122



No. 4
This record from the Alexandria database describes ZnB2As after structural relaxation. The functional is PBEsol.

POSCAR file:
```
ZnB2As
1.0
0.0000 2.8532 2.8532
2.8532 0.0000 2.8532
2.8532 2.8532 0.0000
Zn B As
1 2 1
direct
0.0000 0.0000 0.0000 Zn
0.2500 0.2500 0.2500 B
0.7500 0.7500 0.7500 B
0.5000 0.5000 0.5000 As
```

Properties
Total energy ... -0.140 Ha/atom
Symmetry ... No. 225